Material: Tb5YCd3
Method: DFT, GGA-PBE
State: optimized geometry

space group = No. 193
formation energy from the elements = -0.1918 eV per atom
Fermi-level density of states = 5.81 states/eV/f.u.
theoretical density = 7.92 Mg/m³

```
Tb5YCd3
1.0
9.2100 0.0000 0.0000
-4.6050 7.9761 0.0000
0.0000 0.0000 6.9670
Tb Y Cd
10 2 6
Direct
0.0000 0.3346 0.2500
0.0000 0.6654 0.7500
0.3333 0.6667 0.0000
0.3333 0.6667 0.5000
0.3346 0.0000 0.2500
0.3346 0.3346 0.7500
0.6654 0.0000 0.7500
0.6654 0.6654 0.2500
0.6667 0.3333 0.0000
0.6667 0.3333 0.5000
0.0000 0.0000 0.0000
0.0000 0.0000 0.5000
0.0000 0.3318 0.7500
0.0000 0.6682 0.2500
0.3318 0.0000 0.7500
0.3318 0.3318 0.2500
0.6682 0.0000 0.2500
0.6682 0.6682 0.7500
```

---

Material: Tb2Y3Cd3
Method: DFT, GGA-PBE
State: optimized geometry

space group = No. 71
formation energy from the elements = -0.2606 eV per atom
Fermi-level density of states = 8.82 states/eV/f.u.
theoretical density = 6.87 Mg/m³

```
Tb2Y3Cd3
1.0
3.7413 0.0000 0.0000
0.0000 5.3464 0.0000
0.0000 0.0000 22.2862
Tb Y Cd
4 6 6
Direct
0.0000 0.0000 0.2331
0.0000 0.0000 0.7669
0.5000 0.5000 0.2669
0.5000 0.5000 0.7331
0.0000 0.0000 0.0000
0.0000 0.5000 0.1225
0.0000 0.5000 0.8775
0.5000 0.0000 0.3775
0.5000 0.0000 0.6225
0.5000 0.5000 0.5000
0.0000 0.0000 0.5000
0.0000 0.5000 0.3835
0.0000 0.5000 0.6165
0.5000 0.0000 0.1165
0.5000 0.0000 0.8835
0.5000 0.5000 0.0000
```

---

formation energy from the elements of number 1 (Tb5YCd3)?
-0.1918 eV per atom